# CaTe (meta-GGA SCAN, single point on PBEsol structure)
# - E_form (uncorrected) (eV per atom) = -1.4868
# - total moment (μB per formula unit) = 0.00
data_CaTe
_cell_length_a 5.1912
_cell_length_b 5.1912
_cell_length_c 21.8761
_cell_angle_alpha 90.00
_cell_angle_beta 90.00
_cell_angle_gamma 120.00
_symmetry_space_group_name_H-M 'R -3 m'
_symmetry_Int_Tables_number 166
_symmetry_space_group_name_Hall '-R 3 2"'
loop_
_atom_site_label
_atom_site_type_symbol
_atom_site_fract_x
_atom_site_fract_y
_atom_site_fract_z
_atom_site_occupancy
Ca1 Ca 0.0000 0.0000 0.1060 1
Te1 Te 0.0000 0.0000 0.2479 1



# CaTe3 (meta-GGA SCAN, single point on PBEsol structure)
# - E_form (uncorrected) (eV per atom) = -0.8555
# - total moment (μB per formula unit) = 0.00
data_CaTe3
_cell_length_a 6.337
_cell_length_b 6.337
_cell_length_c 6.337
_cell_angle_alpha 90.00
_cell_angle_beta 90.00
_cell_angle_gamma 90.00
_symmetry_space_group_name_H-M 'I m -3 m'
_symmetry_Int_Tables_number 229
_symmetry_space_group_name_Hall '-I 4 2 3'
loop_
_atom_site_label
_atom_site_type_symbol
_atom_site_fract_x
_atom_site_fract_y
_atom_site_fract_z
_atom_site_occupancy
Ca1 Ca 0.000 0.000 0.000 1
Te1 Te 0.000 0.000 0.500 1



# CaTe (meta-GGA SCAN, single point on PBEsol structure)
# - E_form (uncorrected) (eV per atom) = -1.6574
# - total moment (μB per formula unit) = 0.00
data_CaTe
_cell_length_a 4.3025
_cell_length_b 4.3025
_cell_length_c 3.9860
_cell_angle_alpha 90.00
_cell_angle_beta 90.00
_cell_angle_gamma 120.00
_symmetry_space_group_name_H-M 'P -6 m 2'
_symmetry_Int_Tables_number 187
_symmetry_space_group_name_Hall 'P -6 2'
loop_
_atom_site_label
_atom_site_type_symbol
_atom_site_fract_x
_atom_site_fract_y
_atom_site_fract_z
_atom_site_occupancy
Ca1 Ca 0.0000 0.0000 0.0000 1
Te1 Te 0.6667 0.3333 0.5000 1